1.
A relaxed structure of PuCdAu2, computed with PBE.

Calculated values
space-group type	P4/mmm
uncorrected energy	-5.707	eV per atom

The structure in POSCAR format:
```
PuCdAu2
1.0
-0.006 0.554 -3.058
4.530 -2.730 -0.503
-2.776 -4.458 -0.802
Cd Au Pu
1 2 1
Direct
0.500 0.500 0.500
0.000 0.000 0.500
0.000 0.500 0.000
0.500 0.000 0.000
```

2.
A relaxed structure of Pu3CdAu4, computed with PBE.

Calculated values
space-group type	P4/mmm
uncorrected energy	-7.494	eV per atom

The structure in POSCAR format:
```
Pu3CdAu4
1.0
3.398 0.000 0.000
0.000 3.398 0.000
0.000 0.000 15.718
Cd Au Pu
1 4 3
Direct
0.500 0.500 0.000
0.000 0.000 0.888
0.000 0.000 0.112
0.000 0.000 0.370
0.000 0.000 0.630
0.500 0.500 0.238
0.500 0.500 0.500
0.500 0.500 0.762
```

3.
A relaxed structure of Pu3CdAu2, computed with PBE.

Calculated values
space-group type	P2/m
uncorrected energy	-8.673	eV per atom

The structure in POSCAR format:
```
Pu3CdAu2
1.0
2.918 -0.648 -0.714
-0.290 3.545 -4.419
-2.690 -0.254 15.751
Pu Cd Au
3 1 2
Direct
0.500 0.500 0.000
0.797 0.076 0.648
0.203 0.924 0.352
0.000 0.000 0.000
0.374 0.657 0.687
0.626 0.343 0.313
```

4.
A relaxed structure of PuCd10Au2, computed with PBE.

Calculated values
space-group type	Fmmm
uncorrected energy	-2.387	eV per atom

The structure in POSCAR format:
```
PuCd10Au2
1.0
-5.240 -1.991 1.034
-0.570 -3.033 6.985
-4.538 5.415 3.144
Pu Cd Au
1 10 2
Direct
0.000 0.000 0.000
0.349 0.643 0.659
0.651 0.357 0.341
0.992 0.357 0.659
0.008 0.643 0.341
0.000 0.000 0.500
0.500 0.000 0.500
0.290 0.213 0.206
0.710 0.787 0.794
0.504 0.787 0.206
0.496 0.213 0.794
0.000 0.500 0.000
0.500 0.500 0.000
```

5.
A relaxed structure of Pu3CdAu4, computed with PBE.

Calculated values
space-group type	C2/m
uncorrected energy	-7.396	eV per atom

The structure in POSCAR format:
```
Pu3CdAu4
1.0
-0.041 4.866 0.903
-5.191 -0.144 0.540
-7.495 -3.963 7.458
Pu Cd Au
3 1 4
Direct
0.000 0.500 0.000
0.146 0.500 0.292
0.854 0.500 0.708
0.500 0.000 0.000
0.245 0.688 0.490
0.755 0.312 0.510
0.630 0.154 0.259
0.370 0.846 0.741
```

6.
A relaxed structure of PuCd4Au, computed with PBE.

Calculated values
space-group type	Pmma
uncorrected energy	-3.668	eV per atom

The structure in POSCAR format:
```
PuCd4Au
1.0
-1.252 3.926 -1.195
1.642 -1.711 -7.339
-8.043 -2.906 -1.122
Pu Cd Au
2 8 2
Direct
0.000 0.610 0.750
0.000 0.390 0.250
0.000 0.000 0.500
0.000 0.000 0.000
0.500 0.934 0.750
0.500 0.066 0.250
0.500 0.685 0.044
0.500 0.315 0.956
0.500 0.685 0.456
0.500 0.315 0.544
0.000 0.225 0.750
0.000 0.775 0.250
```

7.
A relaxed structure of PuCdAu, computed with PBE.

Calculated values
space-group type	F-43m
uncorrected energy	-6.358	eV per atom

The structure in POSCAR format:
```
PuCdAu
1.0
4.880 0.000 0.000
2.440 4.226 0.000
2.440 1.409 3.984
Cd Au Pu
1 1 1
Direct
0.000 0.000 0.000
0.250 0.250 0.250
0.500 0.500 0.500
```

8.
A relaxed structure of PuCdAu2, computed with PBE.

Calculated values
space-group type	P4/mmm
uncorrected energy	-5.781	eV per atom

The structure in POSCAR format:
```
PuCdAu2
1.0
3.417 0.000 0.000
0.000 3.417 0.000
0.000 0.000 7.483
Cd Au Pu
1 2 1
Direct
0.500 0.500 0.000
0.000 0.000 0.767
0.000 0.000 0.233
0.500 0.500 0.500
```

9.
A relaxed structure of PuCd12Au6, computed with PBE.

Calculated values
space-group type	R-3m
uncorrected energy	-2.471	eV per atom

The structure in POSCAR format:
```
PuCd12Au6
1.0
-4.894 -2.578 5.713
-1.597 -4.504 -6.356
7.297 -2.132 2.333
Pu Cd Au
1 12 6
Direct
0.000 0.000 0.000
0.887 0.113 0.500
0.860 0.612 0.612
0.612 0.612 0.860
0.388 0.140 0.388
0.388 0.388 0.140
0.140 0.388 0.388
0.113 0.500 0.887
0.500 0.887 0.113
0.113 0.887 0.500
0.887 0.500 0.113
0.500 0.113 0.887
0.612 0.860 0.612
0.708 0.284 0.284
0.284 0.284 0.708
0.284 0.708 0.284
0.716 0.716 0.292
0.292 0.716 0.716
0.716 0.292 0.716
```

10.
A relaxed structure of Pu6CdAu5, computed with PBE.

Calculated values
space-group type	P2/m
uncorrected energy	-8.945	eV per atom

The structure in POSCAR format:
```
Pu6CdAu5
1.0
3.683 -0.152 1.162
-0.128 9.945 1.717
1.370 4.518 9.118
Pu Au Cd
6 5 1
Direct
0.835 0.750 0.665
0.848 0.261 0.652
0.497 0.256 0.003
0.503 0.744 0.997
0.152 0.739 0.348
0.165 0.250 0.335
0.677 0.509 0.323
0.331 0.001 0.669
0.000 0.500 0.000
0.669 0.999 0.331
0.323 0.491 0.677
0.000 0.000 0.000
```

11.
A relaxed structure of Pu4Cd3Au4, computed with PBE.

Calculated values
space-group type	Immm
uncorrected energy	-6.744	eV per atom

The structure in POSCAR format:
```
Pu4Cd3Au4
1.0
5.334 0.000 0.000
0.000 5.780 0.000
-2.667 -2.890 8.575
Pu Cd Au
4 3 4
Direct
0.322 0.073 0.645
0.678 0.428 0.355
0.678 0.927 0.355
0.322 0.572 0.645
0.095 0.095 0.190
0.905 0.905 0.810
0.000 0.500 0.000
0.164 0.664 0.328
0.836 0.336 0.672
0.500 0.754 0.000
0.500 0.246 0.000
```

12.
A relaxed structure of PuCdRhAu, computed with PBE.

Calculated values
space-group type	F-43m
uncorrected energy	-6.736	eV per atom

The structure in POSCAR format:
```
PuCdRhAu
1.0
-4.827 0.252 0.525
-2.912 -2.247 -3.180
-2.506 -3.938 1.361
Rh Cd Au Pu
1 1 1 1
Direct
0.750 0.750 0.750
0.000 0.000 0.000
0.250 0.250 0.250
0.500 0.500 0.500
```

13.
A relaxed structure of PuScCdAu, computed with PBE.

Calculated values
space-group type	F-43m
uncorrected energy	-6.471	eV per atom

The structure in POSCAR format:
```
PuScCdAu
1.0
5.098 0.000 0.000
2.549 4.415 0.000
2.549 1.472 4.163
Sc Cd Au Pu
1 1 1 1
Direct
0.500 0.500 0.500
0.250 0.250 0.250
0.750 0.750 0.750
0.000 0.000 0.000
```

14.
A relaxed structure of Pu2CdSi3Au4, computed with PBE.

Calculated values
space-group type	P-4m2
formation energy (no corrections)	-29	kJ/mol of atoms

The structure in POSCAR format:
```
Pu2CdSi3Au4
1.0
4.300 0.000 0.000
0.000 4.300 0.000
0.000 0.000 10.941
Pu Cd Si Au
2 1 3 4
Direct
0.500 0.000 0.234
0.000 0.500 0.766
0.500 0.500 0.500
0.000 0.000 0.500
0.500 0.000 0.869
0.000 0.500 0.131
0.500 0.500 0.000
0.000 0.000 0.000
0.500 0.000 0.650
0.000 0.500 0.350
```

15.
A relaxed structure of PuCd2Sn2Au2, computed with PBE.

Calculated values
space-group type	R-3m
uncorrected energy	-4.634	eV per atom

The structure in POSCAR format:
```
PuCd2Sn2Au2
1.0
4.832 0.000 0.000
2.416 4.184 0.000
2.416 1.395 8.413
Pu Cd Sn Au
1 2 2 2
Direct
0.000 0.000 0.000
0.137 0.137 0.589
0.863 0.863 0.411
0.744 0.744 0.768
0.256 0.256 0.232
0.606 0.606 0.182
0.394 0.394 0.818
```

16.
A relaxed structure of SrPuCdAu, computed with PBE.

Calculated values
space-group type	F-43m
uncorrected energy	-5.295	eV per atom

The structure in POSCAR format:
```
SrPuCdAu
1.0
5.405 0.000 0.000
2.702 4.681 0.000
2.702 1.560 4.413
Sr Cd Au Pu
1 1 1 1
Direct
0.750 0.750 0.750
0.000 0.000 0.000
0.500 0.500 0.500
0.250 0.250 0.250
```

17.
A relaxed structure of TmPuCdAu, computed with PBE.

Calculated values
space-group type	F-43m
uncorrected energy	-6.070	eV per atom

The structure in POSCAR format:
```
TmPuCdAu
1.0
5.193 0.000 0.000
2.597 4.497 0.000
2.597 1.499 4.240
Cd Tm Au Pu
1 1 1 1
Direct
0.000 0.000 0.000
0.750 0.750 0.750
0.500 0.500 0.500
0.250 0.250 0.250
```

18.
A relaxed structure of YPuCdAu, computed with PBE.

Calculated values
space-group type	F-43m
uncorrected energy	-6.568	eV per atom

The structure in POSCAR format:
```
YPuCdAu
1.0
-3.079 3.536 -2.322
-4.084 2.009 2.580
0.097 4.988 1.574
Y Cd Au Pu
1 1 1 1
Direct
0.750 0.750 0.750
0.000 0.000 0.000
0.500 0.500 0.500
0.250 0.250 0.250
```

19.
A relaxed structure of PuZnCdAu2, computed with PBE.

Calculated values
space-group type	Cmme
uncorrected energy	-4.836	eV per atom

The structure in POSCAR format:
```
PuZnCdAu2
1.0
5.692 0.000 0.000
0.000 5.663 0.000
0.000 -2.831 6.990
Pu Zn Cd Au
2 2 2 4
Direct
0.248 0.750 0.500
0.752 0.250 0.500
0.000 0.000 0.000
0.000 0.500 0.000
0.500 0.750 0.000
0.500 0.250 0.000
0.751 0.849 0.698
0.751 0.651 0.302
0.249 0.349 0.698
0.249 0.151 0.302
```

20.
A relaxed structure of Pu2Zn2CdAu5, computed with PBE.

Calculated values
space-group type	P4/mbm
uncorrected energy	-5.112	eV per atom

The structure in POSCAR format:
```
Pu2Zn2CdAu5
1.0
3.130 0.000 0.000
0.000 11.424 0.000
0.000 0.000 11.424
Pu Zn Cd Au
4 4 2 10
Direct
0.000 0.676 0.176
0.000 0.324 0.824
0.000 0.176 0.324
0.000 0.824 0.676
0.000 0.129 0.629
0.000 0.871 0.371
0.000 0.629 0.871
0.000 0.371 0.129
0.000 0.000 0.000
0.000 0.500 0.500
0.500 0.200 0.059
0.500 0.800 0.941
0.500 0.059 0.800
0.500 0.700 0.441
0.500 0.941 0.200
0.500 0.300 0.559
0.500 0.559 0.700
0.500 0.441 0.300
0.500 0.500 0.000
0.500 0.000 0.500
```

21.
A relaxed structure of Pu2Zn4CdAu3, computed with PBE.

Calculated values
space-group type	P-4m2
uncorrected energy	-4.708	eV per atom

The structure in POSCAR format:
```
Pu2Zn4CdAu3
1.0
-1.904 0.436 -3.699
2.634 -2.780 -1.684
-7.450 -8.755 2.803
Pu Zn Cd Au
2 4 1 3
Direct
0.500 0.000 0.242
0.000 0.500 0.758
0.500 0.500 0.000
0.000 0.000 0.000
0.500 0.000 0.644
0.000 0.500 0.356
0.500 0.500 0.500
0.000 0.000 0.500
0.500 0.000 0.860
0.000 0.500 0.140
```

22.
A relaxed structure of PuZnCdAu, computed with PBE.

Calculated values
space-group type	F-43m
uncorrected energy	-5.164	eV per atom

The structure in POSCAR format:
```
PuZnCdAu
1.0
4.952 0.000 0.000
2.476 4.289 0.000
2.476 1.430 4.044
Zn Cd Au Pu
1 1 1 1
Direct
0.000 0.000 0.000
0.750 0.750 0.750
0.500 0.500 0.500
0.250 0.250 0.250
```

23.
A relaxed structure of Rb4Cd3Au2, computed with PBE.

Calculated values
space-group type	C2/m
uncorrected energy	-1.632	eV per atom

The structure in POSCAR format:
```
Rb4Cd3Au2
1.0
-4.595 0.544 1.033
1.399 -2.920 7.763
3.480 9.010 -0.143
Rb Cd Au
4 3 2
Direct
0.232 0.689 0.463
0.768 0.311 0.537
0.573 0.868 0.146
0.427 0.132 0.854
0.097 0.256 0.195
0.903 0.744 0.805
0.000 0.500 0.000
0.405 0.552 0.809
0.595 0.448 0.191
```

24.
A relaxed structure of Rb5Cd5Au2, computed with PBE.

Calculated values
space-group type	C2/m
uncorrected energy	-1.450	eV per atom

The structure in POSCAR format:
```
Rb5Cd5Au2
1.0
-3.607 0.456 -3.287
-4.945 -8.168 0.639
-7.825 5.419 5.684
Rb Cd Au
5 5 2
Direct
0.500 0.500 0.500
0.382 0.317 0.919
0.301 0.075 0.323
0.699 0.925 0.677
0.618 0.683 0.081
0.957 0.746 0.341
0.239 0.698 0.824
0.761 0.302 0.176
0.043 0.254 0.659
0.000 0.000 0.000
0.847 0.544 0.761
0.153 0.456 0.239
```

For each record above, in turn, the calculated total magnetization values are 1.4721, 0.7080, 0.9984, 0.4684, 2.1674, 0.9636, 1.9450, 1.4117, 0.3212, 0.0000, 2.2318, 1.2156, 1.5110, 1.0927, 0.7882, 1.4733, 1.4699, 1.4820, 1.1319, 1.2493, 1.1366, 1.3913, 0.0000, 0.0000 μB/atom.
For each record above, in turn, the calculated D(E_F) values are 10.35, 23.74, 23.61, 18.05, 30.60, 31.15, 13.91, 9.21, 23.71, 46.10, 29.19, 10.48, 10.20, 29.96, 17.15, 13.59, 10.17, 10.35, 29.91, 39.05, 27.36, 12.63, 3.40, 5.27 states/eV/cell.